[1]
Density functional theory data (PBE) for crystalline SrZn3Rh at its relaxed geometry.

Cell: 6.163 7.486 6.791 Å, 123.45 116.98 90.00°
Atoms (fractional coordinates):
Sr 0.250 0.339 0.500
Sr 0.750 0.661 0.500
Zn 0.703 0.203 0.907
Zn 0.203 0.203 0.907
Zn 0.797 0.797 0.093
Zn 0.297 0.797 0.093
Zn 0.250 0.827 0.500
Zn 0.750 0.173 0.500
Rh 0.000 0.500 0.000
Rh 0.500 0.000 0.000

Properties
E = -2.91 eV/atom
ΔE_f = -0.34 eV per atom
Fermi-level density of states = 0.36 states/eV per atom
Total magnetic moment = 0.00 μB per atom
Excess energy over the best structure of this formula in the dataset = 0.05 eV per formula unit

[2]
Density functional theory data (PBE) for crystalline CsNaMgTe2 at its relaxed geometry.

Cell: 4.808 8.545 10.492 Å, 78.65 76.76 73.66°
Atoms (fractional coordinates):
Cs 0.821 0.732 0.625
Cs 0.179 0.268 0.375
Na 0.348 0.383 0.920
Na 0.652 0.617 0.080
Mg 0.034 0.104 0.828
Mg 0.966 0.896 0.172
Te 0.442 0.796 0.320
Te 0.558 0.204 0.680
Te 0.843 0.237 0.076
Te 0.157 0.763 0.924

Properties
Energy relative to the elements, uncorrected = -4.94 eV/f.u.
E = -3.00 eV/atom
Fermi-level density of states = 0.00 states/eV per atom
Total magnetic moment = 0.00 μB per atom

- Which value of total magnetic moment does entry 2 give?
  0.00 μB per atom

- Which formula does entry 2 have?
  CsNaMgTe2

- E of number 1 (SrZn3Rh)?
  -2.91 eV/atom